## TlZn2HgTe (PBE)

Data for a relaxed structure of TlZn2HgTe.

Cell: 5.4550 5.4550 5.8546 Å, 90.00 90.00 90.00°
Space group P4/mmm (No. 123)
Inequivalent atoms, fractional coordinates:
Tl (0.0000, 0.0000, 0.0000) [1 per cell]
Zn (0.0000, 0.5000, 0.0000) [2 per cell]
Hg (0.5000, 0.5000, 0.5000) [1 per cell]
Te (0.0000, 0.0000, 0.5000) [1 per cell]

**V**: 174 Å³ per cell
**Formation energy without anion corrections**: 2.114 eV per formula unit
**Uncorrected energy**: -1.25 eV per atom

***

## Tm5HgTe4 (PBE)

Data for a relaxed structure of Tm5HgTe4.

Cell: 9.6559 9.6559 6.0838 Å, 90.00 90.00 90.00°
Space group I4/m (No. 87)
Inequivalent atoms, fractional coordinates:
Tm (0.0000, 0.0000, 0.0000) [2 per cell]
Tm (0.0985, 0.2825, 0.5000) [8 per cell]
Hg (0.0000, 0.0000, 0.5000) [2 per cell]
Te (0.0919, 0.3062, 0.0000) [8 per cell]

**V**: 567 Å³ per cell
**Formation energy without anion corrections**: -10.695 eV per formula unit
**Uncorrected energy**: -4.59 eV per atom

***

Please write out number 2 again, unchanged.
## Tm5HgTe4 (PBE)

Data for a relaxed structure of Tm5HgTe4.

Cell: 9.6559 9.6559 6.0838 Å, 90.00 90.00 90.00°
Space group I4/m (No. 87)
Inequivalent atoms, fractional coordinates:
Tm (0.0000, 0.0000, 0.0000) [2 per cell]
Tm (0.0985, 0.2825, 0.5000) [8 per cell]
Hg (0.0000, 0.0000, 0.5000) [2 per cell]
Te (0.0919, 0.3062, 0.0000) [8 per cell]

**V**: 567 Å³ per cell
**Formation energy without anion corrections**: -10.695 eV per formula unit
**Uncorrected energy**: -4.59 eV per atom

***

What did the second record say?
## Tm5HgTe4 (PBE)

Data for a relaxed structure of Tm5HgTe4.

Cell: 9.6559 9.6559 6.0838 Å, 90.00 90.00 90.00°
Space group I4/m (No. 87)
Inequivalent atoms, fractional coordinates:
Tm (0.0000, 0.0000, 0.0000) [2 per cell]
Tm (0.0985, 0.2825, 0.5000) [8 per cell]
Hg (0.0000, 0.0000, 0.5000) [2 per cell]
Te (0.0919, 0.3062, 0.0000) [8 per cell]

**V**: 567 Å³ per cell
**Formation energy without anion corrections**: -10.695 eV per formula unit
**Uncorrected energy**: -4.59 eV per atom